# 1
Below is Hg2Te after structural relaxation, with properties calculated at the PBE-GGA level.

Values from the calculation:
Its density of states at the Fermi level is 2.2 states/eV/f.u. The total energy is -1.119 eV per atom.

Structure (CIF):
```
data_Hg2Te
_cell_length_a 3.964
_cell_length_b 3.964
_cell_length_c 22.078
_cell_angle_alpha 90.00
_cell_angle_beta 90.00
_cell_angle_gamma 90.00
_symmetry_space_group_name_H-M 'I 41/a m d'
_symmetry_Int_Tables_number 141
loop_
_symmetry_equiv_pos_as_xyz
'x,y,z'
'-x,-y,-z'
'-y+1/4,x+3/4,z+1/4'
'y+1/4,-x+3/4,-z+1/4'
'-x+1/2,-y,z+1/2'
'x+1/2,y,-z+1/2'
'y+1/4,-x+1/4,z+3/4'
'-y+1/4,x+1/4,-z+3/4'
'x,-y,-z'
'-x,y,z'
'-y+1/4,-x+1/4,-z+3/4'
'y+1/4,x+1/4,z+3/4'
'-x+1/2,y,-z+1/2'
'x+1/2,-y,z+1/2'
'y+1/4,x+3/4,-z+1/4'
'-y+1/4,-x+3/4,z+1/4'
'x+1/2,y+1/2,z+1/2'
'-x+1/2,-y+1/2,-z+1/2'
'-y+3/4,x+1/4,z+3/4'
'y+3/4,-x+1/4,-z+3/4'
'-x,-y+1/2,z'
'x,y+1/2,-z'
'y+3/4,-x+3/4,z+1/4'
'-y+3/4,x+3/4,-z+1/4'
'x+1/2,-y+1/2,-z+1/2'
'-x+1/2,y+1/2,z+1/2'
'-y+3/4,-x+3/4,-z+1/4'
'y+3/4,x+3/4,z+1/4'
'-x,y+1/2,-z'
'x,-y+1/2,z'
'y+3/4,x+1/4,-z+3/4'
'-y+3/4,-x+1/4,z+3/4'
loop_
_atom_site_label
_atom_site_fract_x
_atom_site_fract_y
_atom_site_fract_z
Hg1 0.000 0.250 0.300
Te1 0.000 0.250 0.875
```

---

# 2
Below is LaGdCdNi after structural relaxation, with properties calculated at the PBE-GGA level.

Values from the calculation:
The formation energy is -79 kJ/mol of formula units. Its density of states at the Fermi level is 3.9 states/eV/f.u. The total energy is -6.631 eV per atom.

Structure (CIF):
```
data_LaGdCdNi
_cell_length_a 7.378
_cell_length_b 7.378
_cell_length_c 7.378
_cell_angle_alpha 90.00
_cell_angle_beta 90.00
_cell_angle_gamma 90.00
_symmetry_space_group_name_H-M 'F -4 3 m'
_symmetry_Int_Tables_number 216
_symmetry_space_group_name_Hall 'F -4 2 3'
loop_
_atom_site_label
_atom_site_fract_x
_atom_site_fract_y
_atom_site_fract_z
La1 0.000 0.000 0.000
Gd1 0.000 0.000 0.500
Cd1 0.250 0.250 0.750
Ni1 0.250 0.250 0.250
```

---

# 3
Below is Zn5Au7 after structural relaxation, with properties calculated at the PBE-GGA level.

Values from the calculation:
The formation energy is -174 kJ/mol of formula units. Its density of states at the Fermi level is 2.9 states/eV/f.u. The total energy is -2.593 eV per atom.

Structure (CIF):
```
data_Zn5Au7
_cell_length_a 13.511
_cell_length_b 3.265
_cell_length_c 10.471
_cell_angle_alpha 90.00
_cell_angle_beta 118.37
_cell_angle_gamma 90.00
_symmetry_space_group_name_H-M 'C 1 2/m 1'
_symmetry_Int_Tables_number 12
_symmetry_space_group_name_Hall '-C 2y'
loop_
_atom_site_label
_atom_site_fract_x
_atom_site_fract_y
_atom_site_fract_z
Zn1 0.000 0.000 0.000
Zn2 0.161 0.000 0.493
Zn3 0.212 0.500 0.761
Au1 0.000 0.500 0.500
Au2 0.048 0.000 0.751
Au3 0.141 0.500 0.270
Au4 0.161 0.500 0.006
```

---

# 4
Below is Nd3PbSeN after structural relaxation, with properties calculated at the PBE-GGA level.

Values from the calculation:
Its density of states at the Fermi level is 1.7 states/eV/f.u. The total energy is -6.144 eV per atom.

Structure (CIF):
```
data_Nd3PbSeN
_cell_length_a 9.271
_cell_length_b 4.177
_cell_length_c 9.559
_cell_angle_alpha 90.00
_cell_angle_beta 101.70
_cell_angle_gamma 90.00
_symmetry_space_group_name_H-M 'P 1 21/m 1'
_symmetry_Int_Tables_number 11
_symmetry_space_group_name_Hall '-P 2yb'
loop_
_atom_site_label
_atom_site_fract_x
_atom_site_fract_y
_atom_site_fract_z
Nd1 0.080 0.250 0.340
Nd2 0.345 0.250 0.988
Nd3 0.392 0.750 0.659
Pb1 0.322 0.750 0.287
Se1 0.149 0.250 0.656
N1 0.411 0.750 0.897
```

---

# 5
Below is AlTl2Pb after structural relaxation, with properties calculated at the PBE-GGA level.

Values from the calculation:
The formation energy is 65 kJ/mol of formula units. Its density of states at the Fermi level is 1.0 states/eV/f.u. The total energy is -2.877 eV per atom.

Structure (CIF):
```
data_AlTl2Pb
_cell_length_a 3.695
_cell_length_b 5.631
_cell_length_c 10.730
_cell_angle_alpha 90.00
_cell_angle_beta 90.00
_cell_angle_gamma 90.00
_symmetry_space_group_name_H-M 'C m m m'
_symmetry_Int_Tables_number 65
_symmetry_space_group_name_Hall '-C 2 2'
loop_
_atom_site_label
_atom_site_fract_x
_atom_site_fract_y
_atom_site_fract_z
Al1 0.000 0.000 0.000
Tl1 0.000 0.500 0.226
Pb1 0.000 0.000 0.500
```

---

# 6
Below is SrLa2Ni9 after structural relaxation, with properties calculated at the PBE-GGA level.

Values from the calculation:
The formation energy is -247 kJ/mol of formula units. Its density of states at the Fermi level is 11.6 states/eV/f.u. The total energy is -5.511 eV per atom.

Structure (CIF):
```
data_SrLa2Ni9
_cell_length_a 5.0988
_cell_length_b 5.0988
_cell_length_c 24.7791
_cell_angle_alpha 90.00
_cell_angle_beta 90.00
_cell_angle_gamma 120.00
_symmetry_space_group_name_H-M 'R -3 m'
_symmetry_Int_Tables_number 166
_symmetry_space_group_name_Hall '-R 3 2"'
loop_
_atom_site_label
_atom_site_fract_x
_atom_site_fract_y
_atom_site_fract_z
Sr1 0.0000 0.0000 0.0000
La1 0.0000 0.0000 0.1375
Ni1 0.0000 0.0000 0.3320
Ni2 0.0000 0.0000 0.5000
Ni3 0.0013 0.5006 0.0806
```

---

# 7
Below is Sc2Ga3Fe after structural relaxation, with properties calculated at the PBE-GGA level.

Values from the calculation:
The formation energy is -273 kJ/mol of formula units. Its density of states at the Fermi level is 4.2 states/eV/f.u. The total energy is -5.506 eV per atom.

Structure (CIF):
```
data_Sc2Ga3Fe
_cell_length_a 6.310
_cell_length_b 8.700
_cell_length_c 14.891
_cell_angle_alpha 90.00
_cell_angle_beta 90.00
_cell_angle_gamma 90.00
_symmetry_space_group_name_H-M 'F m m m'
_symmetry_Int_Tables_number 69
_symmetry_space_group_name_Hall '-F 2 2'
loop_
_atom_site_label
_atom_site_fract_x
_atom_site_fract_y
_atom_site_fract_z
Sc1 0.247 0.000 0.000
Sc2 0.250 0.250 0.250
Ga1 0.000 0.000 0.330
Ga2 0.000 0.242 0.086
Fe1 0.000 0.000 0.166
```

---

# 8
Below is CsHfRh2O after structural relaxation, with properties calculated at the PBE-GGA level.

Values from the calculation:
Its density of states at the Fermi level is 3.7 states/eV/f.u. The total energy is -4.615 eV per atom.

Structure (CIF):
```
data_CsHfRh2O
_cell_length_a 5.063
_cell_length_b 5.063
_cell_length_c 4.194
_cell_angle_alpha 90.00
_cell_angle_beta 90.00
_cell_angle_gamma 90.00
_symmetry_space_group_name_H-M 'P 4/m m m'
_symmetry_Int_Tables_number 123
_symmetry_space_group_name_Hall '-P 4 2'
loop_
_atom_site_label
_atom_site_fract_x
_atom_site_fract_y
_atom_site_fract_z
Cs1 0.000 0.000 0.000
Hf1 0.500 0.500 0.500
Rh1 0.000 0.500 0.000
O1 0.000 0.000 0.500
```

---

# 9
Below is La2MgHg after structural relaxation, with properties calculated at the PBE-GGA level.

Values from the calculation:
The formation energy is -48 kJ/mol of formula units. Its density of states at the Fermi level is 3.1 states/eV/f.u. The total energy is -3.062 eV per atom.

Structure (CIF):
```
data_La2MgHg
_cell_length_a 11.109
_cell_length_b 3.789
_cell_length_c 6.093
_cell_angle_alpha 90.00
_cell_angle_beta 103.71
_cell_angle_gamma 90.00
_symmetry_space_group_name_H-M 'C 1 2/m 1'
_symmetry_Int_Tables_number 12
_symmetry_space_group_name_Hall '-C 2y'
loop_
_atom_site_label
_atom_site_fract_x
_atom_site_fract_y
_atom_site_fract_z
La1 0.242 0.000 0.238
Mg1 0.000 0.000 0.500
Hg1 0.000 0.500 0.000
```

---

# 10
Below is SrZnGa3Ag after structural relaxation, with properties calculated at the PBE-GGA level.

Values from the calculation:
The formation energy is -69 kJ/mol of formula units. Its density of states at the Fermi level is 1.6 states/eV/f.u. The total energy is -2.600 eV per atom.

Structure (CIF):
```
data_SrZnGa3Ag
_cell_length_a 6.110
_cell_length_b 13.176
_cell_length_c 6.624
_cell_angle_alpha 90.00
_cell_angle_beta 90.00
_cell_angle_gamma 90.00
_symmetry_space_group_name_H-M 'C m c m'
_symmetry_Int_Tables_number 63
_symmetry_space_group_name_Hall '-C 2c 2'
loop_
_atom_site_label
_atom_site_fract_x
_atom_site_fract_y
_atom_site_fract_z
Sr1 0.000 0.200 0.250
Zn1 0.000 0.424 0.250
Ga1 0.000 0.372 0.750
Ga2 0.215 0.000 0.000
Ag1 0.000 0.156 0.750
```

---

# 11
Below is BaZn4Tc after structural relaxation, with properties calculated at the PBE-GGA level.

Values from the calculation:
The formation energy is 156 kJ/mol of formula units. Its density of states at the Fermi level is 2.4 states/eV/f.u. The total energy is -2.628 eV per atom.

Structure (CIF):
```
data_BaZn4Tc
_cell_length_a 7.704
_cell_length_b 7.704
_cell_length_c 7.704
_cell_angle_alpha 90.00
_cell_angle_beta 90.00
_cell_angle_gamma 90.00
_symmetry_space_group_name_H-M 'F -4 3 m'
_symmetry_Int_Tables_number 216
_symmetry_space_group_name_Hall 'F -4 2 3'
loop_
_atom_site_label
_atom_site_fract_x
_atom_site_fract_y
_atom_site_fract_z
Ba1 0.000 0.000 0.000
Zn1 0.121 0.121 0.379
Tc1 0.250 0.250 0.750
```

---

# 12
Below is CeGa2Ni5Pt after structural relaxation, with properties calculated at the PBE-GGA level.

Values from the calculation:
The formation energy is -163 kJ/mol of formula units. Its density of states at the Fermi level is 3.5 states/eV/f.u. The total energy is -5.403 eV per atom.

Structure (CIF):
```
data_CeGa2Ni5Pt
_cell_length_a 3.696
_cell_length_b 3.696
_cell_length_c 9.449
_cell_angle_alpha 90.00
_cell_angle_beta 90.00
_cell_angle_gamma 90.00
_symmetry_space_group_name_H-M 'P 4/m m m'
_symmetry_Int_Tables_number 123
_symmetry_space_group_name_Hall '-P 4 2'
loop_
_atom_site_label
_atom_site_fract_x
_atom_site_fract_y
_atom_site_fract_z
Ce1 0.000 0.000 0.000
Ga1 0.500 0.500 0.371
Ni1 0.000 0.500 0.210
Ni2 0.500 0.500 0.000
Pt1 0.000 0.000 0.500
```

---

Repeat the fifth record exactly.
Below is AlTl2Pb after structural relaxation, with properties calculated at the PBE-GGA level.

Values from the calculation:
The formation energy is 65 kJ/mol of formula units. Its density of states at the Fermi level is 1.0 states/eV/f.u. The total energy is -2.877 eV per atom.

Structure (CIF):
```
data_AlTl2Pb
_cell_length_a 3.695
_cell_length_b 5.631
_cell_length_c 10.730
_cell_angle_alpha 90.00
_cell_angle_beta 90.00
_cell_angle_gamma 90.00
_symmetry_space_group_name_H-M 'C m m m'
_symmetry_Int_Tables_number 65
_symmetry_space_group_name_Hall '-C 2 2'
loop_
_atom_site_label
_atom_site_fract_x
_atom_site_fract_y
_atom_site_fract_z
Al1 0.000 0.000 0.000
Tl1 0.000 0.500 0.226
Pb1 0.000 0.000 0.500
```

---

> What is the formula in the third record?

Zn5Au7

---

> What is the formula in the sixth record?

SrLa2Ni9